The following is a PBE with a Hubbard U calculation of an optimized crystal structure of CrO2F, from Alexandria via LeMat-Bulk.

Results
M_tot = 1.0 Bohr magnetons per cell
N(E_F) = 0.70 states/eV/atom
Raw total energy = -21.177 eV per formula unit

Unit cell a=3.674 b=3.674 c=3.674 alpha=60.00 beta=60.00 gamma=60.00
Atoms (fractional coordinates):
Cr (0.500, 0.500, 0.500)
O (0.250, 0.250, 0.250)
O (0.750, 0.750, 0.750)
F (0.000, 0.000, 0.000)